Entry 1:
Co3SnBi: optimized geometry, GGA-PBE.

a b c (Å): 4.7037 4.7037 4.7037
angles (deg): 90.00 90.00 90.00
Last column: nearest neighbours and their distance in Å.
Fractional positions:
Co  0.0000  0.0000  0.5000  2 Sn 2.35
Co  0.0000  0.5000  0.0000  2 Sn 2.35
Co  0.5000  0.0000  0.0000  2 Sn 2.35
Sn  0.0000  0.0000  0.0000  6 Co 2.35
Bi  0.5000  0.5000  0.5000  12 Co 3.33

Properties
crystal system	cubic
energy relative to the lowest polymorph listed for this composition	0.0	meV per atom

Entry 2:
CoSn2Bi2: optimized geometry, GGA-PBE.

a b c (Å): 6.8160 6.8160 5.5829
angles (deg): 90.00 90.00 90.00
Last column: nearest neighbours and their distance in Å.
Fractional positions:
Co  0.0000  0.0000  0.0000  4 Sn 2.57
Co  0.5000  0.5000  0.0000  4 Sn 2.57
Sn  0.1586  0.3414  0.0000  2 Co 2.57
Sn  0.3414  0.8414  0.0000  2 Co 2.57
Sn  0.6586  0.1586  0.0000  2 Co 2.57
Sn  0.8414  0.6586  0.0000  2 Co 2.57
Bi  0.1743  0.6743  0.5000  6 Sn 3.22-3.60, 5 Bi 3.36-3.56
Bi  0.3257  0.1743  0.5000  6 Sn 3.22-3.60, 5 Bi 3.36-3.56
Bi  0.6743  0.8257  0.5000  6 Sn 3.22-3.60, 5 Bi 3.36-3.56
Bi  0.8257  0.3257  0.5000  6 Sn 3.22-3.60, 5 Bi 3.36-3.56

Properties
crystal system	tetragonal

Entry 3:
CoSn6Bi: optimized geometry, GGA-PBE.

a b c (Å): 8.4492 8.4492 9.8195
angles (deg): 124.95 124.95 67.64
Last column: nearest neighbours and their distance in Å.
Fractional positions:
Co  0.0000  0.5000  0.0000  6 Sn 2.52-2.55
Co  0.5000  0.0000  0.0000  6 Sn 2.52-2.55
Sn  0.1269  0.8011  0.1122  1 Co 2.52
Sn  0.1989  0.5197  0.3210  1 Co 2.52
Sn  0.1989  0.8731  0.8878  1 Co 2.52
Sn  0.2899  0.2899  0.9488  2 Co 2.55
Sn  0.4024  0.4024  0.7765  3 Sn 3.01-3.19, 2 Bi 3.08
Sn  0.4803  0.8011  0.6790  1 Co 2.52
Sn  0.5197  0.1989  0.3210  1 Co 2.52
Sn  0.5976  0.5976  0.2235  3 Sn 3.01-3.19, 2 Bi 3.08
Sn  0.7101  0.7101  0.0512  2 Co 2.55
Sn  0.8011  0.1269  0.1122  1 Co 2.52
Sn  0.8011  0.4803  0.6790  1 Co 2.52
Sn  0.8731  0.1989  0.8878  1 Co 2.52
Bi  0.0000  0.5000  0.5000  6 Sn 3.08-3.20
Bi  0.5000  0.0000  0.5000  6 Sn 3.08-3.20

Properties
crystal system	monoclinic

| no. | calculated total energy (eV per atom) | energy of formation (eV/atom) |
| --- | --- | --- |
| 1 | -4.76 | 1.0847 |
| 2 | -4.29 | 0.2874 |
| 3 | -4.31 | 0.0613 |